1.
Compound: Nd3Al2BRu3
Source: the Alexandria database
Functional: PBE-GGA
Structure: relaxed

Structure (POSCAR):
```
Nd3Al2BRu3
1.0
3.6183 0.0000 0.0000
0.0000 7.4640 0.0000
0.0000 -3.7320 6.4640
Ru Al Nd B
3 2 3 1
Cartesian
1.8092 0.8223 1.4243 Ru
1.8092 5.8194 0.0000 Ru
1.8092 -2.9097 5.0398 Ru
1.8092 0.0000 4.3094 Al
1.8092 3.7320 2.1547 Al
0.0000 2.3900 4.1396 Nd
0.0000 -1.3420 2.3244 Nd
0.0000 2.6840 0.0000 Nd
0.0000 0.0000 0.0000 B
```

Calculated values
Space group   P-62m (189)
E   -57.7 eV/f.u.
Size of the total moment   0.0 μB/f.u.

=====

2.
Compound: NdAlBRu2
Source: the Alexandria database
Functional: PBE-GGA
Structure: relaxed

Structure (POSCAR):
```
NdAlBRu2
1.0
4.1614 0.0000 0.0000
-2.0807 5.5230 0.0000
0.0000 0.0000 7.3574
Ru Nd Al B
4 2 2 2
Cartesian
2.0807 3.5977 0.4341 Ru
2.0807 3.5977 3.2446 Ru
0.0000 1.9253 4.1128 Ru
0.0000 1.9253 6.9233 Ru
0.0000 4.9404 5.5180 Nd
2.0807 0.5826 1.8393 Nd
2.0807 2.4793 5.5180 Al
0.0000 3.0437 1.8393 Al
0.0000 0.0000 3.6787 B
0.0000 0.0000 0.0000 B
```

Calculated values
Space group   Cmcm (63)
E   -35.8 eV/f.u.
Size of the total moment   0.0 μB/f.u.

=====

3.
Compound: NdAl2Tc2B
Source: the Alexandria database
Functional: PBE-GGA
Structure: relaxed

Structure (POSCAR):
```
NdAl2Tc2B
1.0
4.2735 0.0000 0.0000
0.0000 4.2735 0.0000
0.0000 0.0000 5.6060
Tc Al B Nd
2 2 1 1
Cartesian
0.0000 2.1368 0.0000 Tc
2.1368 0.0000 0.0000 Tc
2.1368 2.1368 4.1516 Al
2.1368 2.1368 1.4544 Al
0.0000 0.0000 0.0000 B
0.0000 0.0000 2.8030 Nd
```

Calculated values
Space group   P4/mmm (123)
E   -42.4 eV/f.u.
Size of the total moment   0.0 μB/f.u.

=====

4.
Compound: AlNi20B14
Source: the Alexandria database
Functional: PBE-GGA
Structure: relaxed

Structure (POSCAR):
```
AlNi20B14
1.0
-4.8719 2.1078 5.3662
1.6509 -1.1787 7.2705
1.6305 5.8406 4.4949
Ni B Al
20 14 1
Cartesian
0.1920 5.4040 8.6690 Ni
0.2019 1.9873 10.0200 Ni
-1.6267 0.7038 1.7917 Ni
-0.5406 4.5942 4.7858 Ni
-1.7924 4.7824 7.1116 Ni
-2.6940 1.0105 6.0020 Ni
-2.7008 3.3542 5.0753 Ni
-3.2452 1.4040 3.5745 Ni
1.0997 -0.7852 4.8429 Ni
1.6373 3.4969 5.4216 Ni
-2.9732 3.5870 9.0931 Ni
0.5512 -0.3936 2.4276 Ni
1.6441 1.1650 6.3437 Ni
-0.6017 2.5610 6.4811 Ni
-0.9888 4.2086 10.6505 Ni
1.3826 3.1826 8.0385 Ni
-0.5271 -0.0814 6.6347 Ni
-1.7825 1.3657 8.4626 Ni
1.0861 3.8904 2.9941 Ni
0.5444 1.9501 1.5008 Ni
0.2864 4.4799 6.7505 B
-1.2886 5.4846 13.8795 B
-0.1160 4.9773 12.5879 B
-1.6860 5.7683 12.1296 B
-0.3019 1.2851 3.2520 B
-1.8860 5.4198 9.1434 B
-2.6131 2.8154 7.1390 B
-1.6811 4.0788 12.7976 B
0.2955 1.3499 7.9882 B
-1.4746 1.7924 4.5436 B
0.0954 1.0014 5.0020 B
0.0905 2.6909 4.3339 B
1.0226 3.9543 9.9925 B
-1.8770 2.2898 10.3811 B
0.0000 0.0000 0.0000 Al
```

Calculated values
Space group   Fm-3m (225)
E   -222.7 eV/f.u.
Size of the total moment   0.0 μB/f.u.

=====

5.
Compound: Al2Ni8B
Source: the Alexandria database
Functional: PBE-GGA
Structure: relaxed

Structure (POSCAR):
```
Al2Ni8B
1.0
4.0239 0.0000 0.0000
0.0000 5.0669 -0.1475
-2.0120 -2.3512 5.9714
Ni Al B
8 2 1
Cartesian
2.0120 2.6458 3.6688 Ni
0.0000 3.8042 -0.1063 Ni
2.0120 3.8262 1.3757 Ni
2.0120 -1.0885 5.9302 Ni
0.0000 1.3735 4.3868 Ni
2.0120 1.3422 1.4371 Ni
0.0000 0.0699 2.1550 Ni
0.0000 -1.1104 4.4482 Ni
2.0120 0.1147 3.6603 Al
0.0000 2.6010 2.1635 Al
2.0120 0.0000 0.0000 B
```

Calculated values
Space group   C2/m (12)
E   -63.8 eV/f.u.
Size of the total moment   0.0 μB/f.u.

=====

6.
Compound: AlNi5B2
Source: the Alexandria database
Functional: PBE-GGA
Structure: relaxed

Structure (POSCAR):
```
AlNi5B2
1.0
-0.4793 -2.5182 1.7823
1.4461 -4.6366 -3.4278
5.0938 -3.0573 -0.2154
B Al Ni
2 1 5
Cartesian
4.1773 -7.3876 -1.1111 B
1.8833 -2.8245 -0.7498 B
0.0000 0.0000 0.0000 Al
1.0697 -4.7069 -0.8937 Ni
2.8582 -3.9325 0.6814 Ni
3.2700 -3.8469 -1.8216 Ni
4.9910 -5.5052 -0.9672 Ni
3.2025 -6.2796 -2.5423 Ni
```

Calculated values
Space group   Immm (71)
E   -48.6 eV/f.u.
Size of the total moment   0.0 μB/f.u.

=====

7.
Compound: Al3NiB
Source: the Alexandria database
Functional: PBE-GGA
Structure: relaxed

Structure (POSCAR):
```
Al3NiB
1.0
-1.9879 3.2415 2.2367
-3.7864 -2.2622 -0.0867
1.0832 -1.9588 3.8015
Al B Ni
3 1 1
Cartesian
0.5416 -0.9794 1.9007 Al
-0.9939 1.6207 1.1183 Al
-1.8932 -1.1311 -0.0434 Al
-2.3455 -0.4898 2.9757 B
0.0000 0.0000 0.0000 Ni
```

Calculated values
Space group   Pm-3m (221)
Relative energy among the computed polymorphs   0.411 eV per atom
Size of the total moment   0.0 μB/f.u.

=====

8.
Compound: AlNi7B5
Source: the Alexandria database
Functional: PBE-GGA
Structure: relaxed

Structure (POSCAR):
```
AlNi7B5
1.0
-2.8971 0.3461 2.9413
-0.4077 -4.7673 3.0773
2.2298 1.8476 4.8967
B Ni Al
5 7 1
Cartesian
0.5507 -0.2529 7.8617 B
0.6192 -3.8742 5.4476 B
-0.8477 -1.9015 8.1423 B
1.9942 -0.4254 6.3962 B
-0.8243 -3.7017 6.9131 B
-0.3698 -0.5734 2.6210 Ni
0.4146 -1.9457 6.4729 Ni
-1.1216 -0.8826 4.8347 Ni
-2.3289 -2.2593 6.7254 Ni
-1.4647 -0.0917 7.3216 Ni
0.1219 1.0332 5.8341 Ni
-1.6132 -3.3186 4.6372 Ni
-2.6554 0.1788 3.1991 Al
```

Calculated values
Space group   Imm2 (44)
E   -79.0 eV/f.u.
Size of the total moment   0.0 μB/f.u.